Density functional theory data (PBE with a Hubbard U) for crystalline ZnMoHO2 at its relaxed geometry.

abc: 4.0913 3.0788 4.0913
angles: 90.00 90.00 90.00
Sites, in units of the cell vectors:
H 0.0000 0.0000 0.0000
Mo 0.5000 0.5000 0.5000
Zn 0.0000 0.5000 0.0000
O 0.0000 0.0000 0.5000
O 0.5000 0.0000 0.0000

Energy: -20.46 eV per cell
SG: P4/mmm
V: 52 Å³/cell